Material: Li2Cu3P2
Method: DFT, GGA-PBE
State: optimized geometry

Formation energy from the elements in meV/atom: -276
Calculated volume in A^3/atom: 13.7
Raw total energy in eV/atom: -4.124

Unit cell a=8.650 b=3.781 c=6.305 alpha=90.00 beta=111.20 gamma=90.00
Space group C2/m (No. 12)
Symmetry-distinct sites (fractional):
Li (0.142, 0.000, 0.286) x4
Cu (0.000, 0.500, 0.500) x2
Cu (0.131, 0.500, 0.933) x4
P (0.154, 0.000, 0.717) x4

=====

Material: Ba2LaP
Method: DFT, GGA-PBE
State: optimized geometry

Formation energy from the elements in meV/atom: -401
Calculated volume in A^3/atom: 47.3
Raw total energy in eV/atom: -3.946

Unit cell a=11.483 b=11.483 c=5.734 alpha=90.00 beta=90.00 gamma=90.00
Space group I-42d (No. 122)
Symmetry-distinct sites (fractional):
Ba (0.111, 0.250, 0.125) x8
La (0.000, 0.000, 0.500) x4
P (0.000, 0.000, 0.000) x4

=====

Material: SrLi2CuAu
Method: DFT, GGA-PBE
State: optimized geometry

Relative energy among the computed polymorphs in meV/atom: 24.0
Formation energy from the elements in meV/atom: -147
Calculated volume in A^3/atom: 23.8
Raw total energy in eV/atom: -2.723

Unit cell a=4.848 b=4.848 c=5.062 alpha=90.00 beta=90.00 gamma=90.00
Space group P4/mmm (No. 123)
Symmetry-distinct sites (fractional):
Sr (0.000, 0.000, 0.000) x1
Li (0.000, 0.500, 0.500) x2
Cu (0.500, 0.500, 0.000) x1
Au (0.500, 0.500, 0.500) x1

=====

Material: SrCr2Rh
Method: DFT, GGA-PBE
State: optimized geometry

Relative energy among the computed polymorphs in meV/atom: 119.2
Formation energy from the elements in meV/atom: 388
Calculated volume in A^3/atom: 18.8
Raw total energy in eV/atom: -6.682

Unit cell a=3.171 b=3.171 c=7.476 alpha=90.00 beta=90.00 gamma=90.00
Space group P4mm (No. 99)
Symmetry-distinct sites (fractional):
Sr (0.000, 0.000, 0.000) x1
Cr (0.000, 0.000, 0.514) x1
Cr (0.500, 0.500, 0.350) x1
Rh (0.500, 0.500, 0.716) x1

=====

Material: YSbIr2
Method: DFT, GGA-PBE
State: optimized geometry

Calculated volume in A^3/atom: 22.0
Raw total energy in eV/atom: -7.502
Formation energy without anion corrections in kJ per mole of atoms: -41.0

Unit cell a=4.3932 b=4.3932 c=15.7766 alpha=90.00 beta=90.00 gamma=120.00
Space group R3m (No. 160, hexagonal axes)
Symmetry-distinct sites (fractional):
Y (0.0000, 0.0000, 0.0000) x3
Sb (0.0000, 0.0000, 0.2015) x3
Ir (0.0000, 0.0000, 0.4483) x3
Ir (0.0000, 0.0000, 0.7812) x3

=====

Material: Eu2HoGa
Method: DFT, GGA-PBE
State: optimized geometry

Relative energy among the computed polymorphs in meV/atom: 15.7
Formation energy from the elements in meV/atom: -135
Calculated volume in A^3/atom: 28.9
Raw total energy in eV/atom: -7.174

Unit cell a=4.771 b=4.771 c=5.076 alpha=90.00 beta=90.00 gamma=90.00
Space group P4/mmm (No. 123)
Symmetry-distinct sites (fractional):
Eu (0.000, 0.500, 0.000) x2
Ho (0.000, 0.000, 0.500) x1
Ga (0.500, 0.500, 0.500) x1

=====

Material: Pa2AgPd9
Method: DFT, GGA-PBE
State: optimized geometry

Formation energy from the elements in meV/atom: -613
Calculated volume in A^3/atom: 17.3
Raw total energy in eV/atom: -6.328

Unit cell a=4.132 b=4.132 c=12.127 alpha=90.00 beta=90.00 gamma=90.00
Space group P4/mmm (No. 123)
Symmetry-distinct sites (fractional):
Pa (0.000, 0.000, 0.179) x2
Ag (0.000, 0.000, 0.500) x1
Pd (0.000, 0.500, 0.000) x2
Pd (0.000, 0.500, 0.333) x4
Pd (0.500, 0.500, 0.165) x2
Pd (0.500, 0.500, 0.500) x1

=====

Material: Pr2SmHg2
Method: DFT, GGA-PBE
State: optimized geometry

Relative energy among the computed polymorphs in meV/atom: 53.0
Formation energy from the elements in meV/atom: -325
Calculated volume in A^3/atom: 30.3
Raw total energy in eV/atom: -3.301

Unit cell a=4.914 b=7.220 c=8.551 alpha=90.00 beta=90.00 gamma=90.00
Space group Immm (No. 71)
Symmetry-distinct sites (fractional):
Pr (0.000, 0.000, 0.193) x4
Sm (0.000, 0.500, 0.000) x2
Hg (0.000, 0.283, 0.500) x4